No. 1
First-principles (PBE) data for an optimized crystal structure of RbLiMg14O15, as listed in Alexandria.

Values from the calculation:
Size of the total moment   0.00 μB per cell
Volume   10.47 A^3/atom
E   -173.28 eV/cell
Formation energy (no corrections)   -2377 meV/atom

Lattice parameters (Å, degrees): 4.3735 8.4094 8.8270 90.00 90.00 90.00
Fractional positions:
Mg  0.5000  0.4921  0.7553
Mg  0.5000  0.9971  0.2462
Mg  0.0000  0.7500  0.7841
O  0.5000  0.9907  0.5000
O  0.0000  0.9821  0.7264
O  0.5000  0.9900  0.0000
O  0.5000  0.7443  0.7376
O  0.0000  0.9821  0.2736
Mg  0.5000  0.7491  0.0000
Li  0.0000  0.0049  0.0000
O  0.0000  0.7464  0.0000
O  0.5000  0.4990  0.0000
O  0.5000  0.2438  0.2503
O  0.5000  0.7443  0.2624
Mg  0.5000  0.2368  0.0000
Mg  0.0000  0.2510  0.7497
O  0.0000  0.2428  0.0000
O  0.5000  0.4974  0.5000
Mg  0.5000  0.2601  0.5000
Mg  0.0000  0.2510  0.2503
O  0.0000  0.5006  0.7721
Mg  0.5000  0.9971  0.7538
Mg  0.0000  0.7500  0.2159
Mg  0.0000  0.4875  0.0000
Mg  0.0000  0.0236  0.5000
Mg  0.5000  0.7568  0.5000
Rb  0.0000  0.5913  0.5000
O  0.0000  0.2515  0.5000
O  0.0000  0.5006  0.2279
Mg  0.5000  0.4921  0.2447
O  0.5000  0.2438  0.7497

=====

No. 2
First-principles (PBE) data for an optimized crystal structure of CaLaIn, as listed in Alexandria.

Values from the calculation:
Size of the total moment   0.00 μB per cell
Volume   30.12 A^3/atom
E   -40.70 eV/cell

Lattice parameters (Å, degrees): 9.5185 6.8859 5.5141 90.00 90.00 90.00
Fractional positions:
In  0.0000  0.0000  0.0000
Ca  0.1679  0.2500  0.4995
La  0.1661  0.7500  0.4995
La  0.8339  0.2500  0.5005
In  0.5000  0.5000  0.5000
La  0.3339  0.2500  0.9995
In  0.0000  0.5000  0.0000
Ca  0.8321  0.7500  0.5005
La  0.6661  0.7500  0.0005
In  0.5000  0.0000  0.5000
Ca  0.6679  0.2500  0.0005
Ca  0.3321  0.7500  0.9995

=====

No. 3
First-principles (PBE) data for an optimized crystal structure of TlRhF2, as listed in Alexandria.

Values from the calculation:
Size of the total moment   4.00 μB per cell
Volume   18.74 A^3/atom
E   -33.40 eV/cell
Formation energy (no corrections)   -810 meV/atom

Lattice parameters (Å, degrees): 4.5402 4.5402 7.9482 73.40 73.40 90.00
Last column: magnetic moment on the atom in μB.
Fractional positions:
Tl  0.0000  0.0000  0.0000  0.00
Rh  0.5000  0.5000  0.0000  1.71
F  0.8750  0.7788  0.7500  0.10
F  0.2212  0.6250  0.2500  0.10
F  0.3750  0.4712  0.7500  0.10
Rh  0.2500  0.7500  0.5000  1.71
F  0.5288  0.1250  0.2500  0.10
Tl  0.7500  0.2500  0.5000  0.00

=====

No. 4
First-principles (PBE) data for an optimized crystal structure of U2MnCo9, as listed in Alexandria.

Values from the calculation:
Size of the total moment   10.14 μB per cell
Volume   13.26 A^3/atom
E   -95.98 eV/cell

Lattice parameters (Å, degrees): 4.7627 4.7627 8.5564 73.84 73.84 60.00
Last column: magnetic moment on the atom in μB.
Fractional positions:
Co  0.9176  0.4192  0.2441  1.05
Co  0.3329  0.3329  0.0013  1.63
Co  0.5808  0.0824  0.7559  1.05
Co  0.5000  0.5000  0.5000  0.66
Co  0.0824  0.5808  0.7559  1.05
Mn  0.0000  0.0000  0.0000  3.81
Co  0.6671  0.6671  0.9987  1.63
U  0.8625  0.8625  0.4124  -1.83
Co  0.4192  0.9176  0.2441  1.05
Co  0.5808  0.5808  0.7559  1.05
Co  0.4192  0.4192  0.2441  1.05
U  0.1375  0.1375  0.5876  -1.83

=====

No. 5
First-principles (PBE) data for an optimized crystal structure of PmBi5Rh3, as listed in Alexandria.

Values from the calculation:
Size of the total moment   0.00 μB per cell
Volume   28.06 A^3/atom
E   -95.72 eV/cell

Lattice parameters (Å, degrees): 7.5865 7.5865 9.9123 72.93 72.93 71.77
Fractional positions:
Rh  0.0000  0.0000  0.0000
Bi  0.7677  0.7677  0.0295
Rh  0.3341  0.3341  0.1671
Bi  0.5730  0.5730  0.6249
Rh  0.6653  0.6653  0.3215
Pm  0.1030  0.1030  0.7043
Rh  0.3347  0.3347  0.6785
Bi  0.9733  0.3740  0.3535
Bi  0.4270  0.4270  0.3751
Bi  0.6980  0.3020  0.0000
Bi  0.3740  0.9733  0.3535
Pm  0.8970  0.8970  0.2957
Bi  0.2323  0.2323  0.9705
Rh  0.6659  0.6659  0.8329
Bi  0.0267  0.6260  0.6465
Bi  0.3020  0.6980  0.0000
Bi  0.6260  0.0267  0.6465
Rh  0.0000  0.0000  0.5000

=====

No. 6
First-principles (PBE) data for an optimized crystal structure of SrPuPN4, as listed in Alexandria.

Values from the calculation:
Size of the total moment   6.00 μB per cell
Volume   14.48 A^3/atom
E   -121.09 eV/cell
Formation energy (no corrections)   -832 meV/atom

Lattice parameters (Å, degrees): 5.4837 5.5125 7.0016 90.00 106.77 90.00
Last column: magnetic moment on the atom in μB.
Fractional positions:
N  0.4272  0.7500  0.1767  -0.12
N  0.0408  0.5170  0.2931  -0.16
Pu  0.2275  0.2500  0.5457  3.80
Sr  0.2908  0.2500  0.0700  0.00
N  0.9592  0.0170  0.7069  -0.16
Sr  0.7092  0.7500  0.9300  0.00
N  0.9592  0.4830  0.7069  -0.16
P  0.7634  0.2500  0.6800  0.01
N  0.5695  0.2500  0.4467  -0.21
N  0.5728  0.2500  0.8233  -0.12
Pu  0.7725  0.7500  0.4543  3.80
N  0.0408  0.9830  0.2931  -0.16
P  0.2366  0.7500  0.3200  0.01
N  0.4305  0.7500  0.5533  -0.21

=====

No. 7
First-principles (PBE) data for an optimized crystal structure of Be2B2Pt, as listed in Alexandria.

Values from the calculation:
Size of the total moment   0.00 μB per cell
Volume   9.17 A^3/atom
E   -26.17 eV/cell

Lattice parameters (Å, degrees): 2.7112 2.7112 6.5272 78.01 78.01 90.00
Fractional positions:
B  0.2500  0.7500  0.5000
Pt  0.0000  0.0000  0.0000
B  0.7500  0.2500  0.5000
Be  0.6275  0.6275  0.7449
Be  0.3725  0.3725  0.2551

=====

No. 8
First-principles (PBE) data for an optimized crystal structure of LiMnTe, as listed in Alexandria.

Values from the calculation:
Size of the total moment   8.27 μB per cell
Volume   19.56 A^3/atom
E   -29.61 eV/cell
Formation energy (no corrections)   -193 meV/atom

Lattice parameters (Å, degrees): 4.0020 4.0020 7.3285 90.00 90.00 90.00
Last column: magnetic moment on the atom in μB.
Fractional positions:
Li  0.5000  0.5000  0.5000  -0.01
Te  0.0000  0.5000  0.2388  0.06
Mn  0.0000  0.5000  0.8676  3.88
Mn  0.5000  0.0000  0.1324  3.88
Li  0.0000  0.0000  0.5000  -0.01
Te  0.5000  0.0000  0.7612  0.06

=====

No. 9
First-principles (PBE) data for an optimized crystal structure of LiRe2Mo, as listed in Alexandria.

Values from the calculation:
Size of the total moment   0.00 μB per cell
Volume   16.14 A^3/atom
E   -67.64 eV/cell

Lattice parameters (Å, degrees): 7.0388 7.0388 5.6181 51.21 51.21 90.00
Fractional positions:
Li  0.2500  0.7500  0.5000
Re  0.8750  0.8926  0.7500
Re  0.1074  0.6250  0.2500
Re  0.6426  0.1250  0.2500
Mo  0.7500  0.2500  0.5000
Li  0.5000  0.5000  0.0000
Re  0.3750  0.3574  0.7500
Mo  0.0000  0.0000  0.0000

=====

No. 10
First-principles (PBE) data for an optimized crystal structure of BeCu2Mo, as listed in Alexandria.

Values from the calculation:
Size of the total moment   0.00 μB per cell
Volume   11.81 A^3/atom
E   -22.57 eV/cell

Lattice parameters (Å, degrees): 2.6397 2.6380 6.7860 90.00 90.00 90.00
Fractional positions:
Mo  0.5000  0.5000  0.2500
Cu  0.0000  0.0000  0.9520
Cu  0.0000  0.0000  0.5480
Be  0.5000  0.5000  0.7500

=====

No. 11
First-principles (PBE) data for an optimized crystal structure of Sc2MoIr, as listed in Alexandria.

Values from the calculation:
Size of the total moment   0.00 μB per cell
Volume   17.69 A^3/atom
E   -33.17 eV/cell

Lattice parameters (Å, degrees): 5.4741 5.4741 5.4741 138.69 138.69 59.85
Fractional positions:
Mo  0.7500  0.2500  0.5000
Sc  0.2500  0.7500  0.5000
Sc  0.0000  0.0000  0.0000
Ir  0.5000  0.5000  0.0000

=====

No. 12
First-principles (PBE) data for an optimized crystal structure of Sr2ZrNiS5, as listed in Alexandria.

Values from the calculation:
Size of the total moment   2.33 μB per cell
Volume   22.47 A^3/atom
E   -103.42 eV/cell
Formation energy (no corrections)   -1486 meV/atom

Lattice parameters (Å, degrees): 3.8487 8.8337 12.1903 90.00 90.00 102.58
Last column: magnetic moment on the atom in μB.
Fractional positions:
Sr  0.8820  0.7641  0.8337  0.00
S  0.3421  0.6841  0.0116  0.02
S  0.9571  0.9142  0.5191  0.10
S  0.4954  0.9908  0.2741  0.07
S  0.5046  0.0092  0.7741  0.07
Zr  0.8061  0.6121  0.5214  0.00
S  0.3008  0.6015  0.6660  0.01
Sr  0.1209  0.2418  0.6895  0.00
S  0.6579  0.3159  0.5116  0.02
S  0.3068  0.6136  0.3741  0.06
Ni  0.5665  0.1331  0.9344  0.68
S  0.6932  0.3864  0.8741  0.06
Sr  0.1180  0.2359  0.3337  0.00
Zr  0.1939  0.3879  0.0214  0.00
Ni  0.4335  0.8669  0.4344  0.68
Sr  0.8791  0.7582  0.1895  0.00
S  0.0429  0.0858  0.0191  0.10
S  0.6992  0.3985  0.1660  0.01

=====

No. 13
First-principles (PBE) data for an optimized crystal structure of Tb4HoCu5, as listed in Alexandria.

Values from the calculation:
Size of the total moment   0.00 μB per cell
Volume   21.01 A^3/atom
E   -46.06 eV/cell

Lattice parameters (Å, degrees): 3.4606 3.4606 17.5430 90.00 90.00 90.00
Fractional positions:
Cu  0.5000  0.5000  0.7005
Cu  0.5000  0.5000  0.2995
Cu  0.5000  0.5000  0.0977
Cu  0.5000  0.5000  0.5000
Cu  0.5000  0.5000  0.9023
Tb  0.0000  0.0000  0.1989
Tb  0.0000  0.0000  0.3997
Tb  0.0000  0.0000  0.6003
Tb  0.0000  0.0000  0.8011
Ho  0.0000  0.0000  0.0000

=====

No. 14
First-principles (PBE) data for an optimized crystal structure of TiNbTc, as listed in Alexandria.

Values from the calculation:
Size of the total moment   0.00 μB per cell
Volume   16.20 A^3/atom
E   -58.72 eV/cell

Lattice parameters (Å, degrees): 3.1627 3.1627 9.7204 90.00 90.00 90.00
Fractional positions:
Tc  0.5000  0.5000  0.5423
Ti  0.0000  0.0000  0.3849
Ti  0.5000  0.5000  0.8849
Tc  0.0000  0.0000  0.0423
Nb  0.0000  0.0000  0.7010
Nb  0.5000  0.5000  0.2010

=====

No. 15
First-principles (PBE) data for an optimized crystal structure of Mg2MoW4, as listed in Alexandria.

Values from the calculation:
Size of the total moment   0.00 μB per cell
Volume   22.07 A^3/atom
E   -51.79 eV/cell

Lattice parameters (Å, degrees): 4.6864 4.6864 7.7765 72.46 72.46 90.00
Fractional positions:
W  0.8308  0.8308  0.3385
Mg  0.3666  0.3666  0.2667
Mo  0.0000  0.0000  0.0000
W  0.5000  0.0000  0.0000
W  0.0000  0.5000  0.0000
Mg  0.6334  0.6334  0.7333
W  0.1693  0.1693  0.6615

=====

No. 16
First-principles (PBE) data for an optimized crystal structure of Ac2ZnCdO5, as listed in Alexandria.

Values from the calculation:
Size of the total moment   0.00 μB per cell
Volume   16.58 A^3/atom
E   -107.14 eV/cell
Formation energy (no corrections)   -2042 meV/atom

Lattice parameters (Å, degrees): 5.9191 7.1010 7.1010 90.00 90.00 90.00
Fractional positions:
O  0.2387  0.1404  0.6404
O  0.2387  0.3596  0.1404
Ac  0.5000  0.6737  0.1737
O  0.2387  0.8596  0.3596
O  0.2387  0.6404  0.8596
O  0.7613  0.3596  0.1404
O  0.7613  0.8596  0.3596
O  0.7613  0.6404  0.8596
O  0.7613  0.1404  0.6404
O  0.5000  0.5000  0.5000
Ac  0.5000  0.3263  0.8263
Zn  0.0000  0.5000  0.0000
Zn  0.0000  0.0000  0.5000
Cd  0.0000  0.0000  0.0000
Ac  0.5000  0.1737  0.3263
Ac  0.5000  0.8263  0.6737
O  0.5000  0.0000  0.0000
Cd  0.0000  0.5000  0.5000

=====

No. 17
First-principles (PBE) data for an optimized crystal structure of As2WAu, as listed in Alexandria.

Values from the calculation:
Size of the total moment   0.00 μB per cell
Volume   17.61 A^3/atom
E   -24.15 eV/cell

Lattice parameters (Å, degrees): 5.0504 5.0504 4.4931 77.67 77.67 39.13
Fractional positions:
As  0.7458  0.7458  0.6502
W  0.2728  0.2728  0.1941
As  0.9885  0.9885  0.0845
Au  0.4929  0.4929  0.5713

=====

No. 18
First-principles (PBE) data for an optimized crystal structure of Cs5As2I, as listed in Alexandria.

Values from the calculation:
Size of the total moment   0.00 μB per cell
Volume   50.07 A^3/atom
E   -40.56 eV/cell
Formation energy (no corrections)   -646 meV/atom

Lattice parameters (Å, degrees): 9.4870 9.4870 11.1465 115.19 115.19 90.00
Fractional positions:
As  0.9027  0.5973  0.0000
Cs  0.1905  0.0502  0.7407
Cs  0.0502  0.5502  0.7407
Cs  0.5000  0.5000  0.0000
I  0.2500  0.2500  0.5000
Cs  0.6905  0.1905  0.7407
I  0.7500  0.7500  0.5000
Cs  0.3095  0.8095  0.2593
As  0.0973  0.4027  0.0000
Cs  0.8095  0.9498  0.2593
As  0.5973  0.0973  0.0000
Cs  0.4498  0.3095  0.2593
Cs  0.5502  0.6905  0.7407
As  0.4027  0.9027  0.0000
Cs  0.0000  0.0000  0.0000
Cs  0.9498  0.4498  0.2593

=====

No. 19
First-principles (PBE) data for an optimized crystal structure of Pm4BiSe5, as listed in Alexandria.

Values from the calculation:
Size of the total moment   0.00 μB per cell
Volume   27.05 A^3/atom
E   -54.34 eV/cell
Formation energy (no corrections)   -1403 meV/atom

Lattice parameters (Å, degrees): 4.3089 4.3089 17.0060 82.72 82.72 60.00
Fractional positions:
Pm  0.7005  0.7005  0.8986
Bi  0.5000  0.5000  0.5000
Se  0.7996  0.7996  0.6013
Se  0.6009  0.6009  0.1972
Se  0.0000  0.0000  0.0000
Se  0.2004  0.2004  0.3987
Pm  0.9030  0.9030  0.2911
Se  0.3991  0.3991  0.8028
Pm  0.0970  0.0970  0.7089
Pm  0.2995  0.2995  0.1014

=====

No. 20
First-principles (PBE) data for an optimized crystal structure of La2ReAu, as listed in Alexandria.

Values from the calculation:
Size of the total moment   0.00 μB per cell
Volume   24.67 A^3/atom
E   -25.83 eV/cell

Lattice parameters (Å, degrees): 5.1871 5.1871 5.1871 60.00 60.00 60.00
Fractional positions:
Re  0.0000  0.0000  0.0000
Au  0.5000  0.5000  0.5000
La  0.7500  0.7500  0.7500
La  0.2500  0.2500  0.2500

=====

No. 21
First-principles (PBE) data for an optimized crystal structure of AlPd2SeO, as listed in Alexandria.

Values from the calculation:
Size of the total moment   0.00 μB per cell
Volume   17.53 A^3/atom
E   -22.12 eV/cell
Formation energy (no corrections)   90 meV/atom

Lattice parameters (Å, degrees): 4.8320 3.7547 4.8320 90.00 90.00 90.00
Fractional positions:
Al  0.5000  0.5000  0.5000
Se  0.0000  0.0000  0.0000
O  0.0000  0.5000  0.0000
Pd  0.5000  0.0000  0.0000
Pd  0.0000  0.0000  0.5000

=====

No. 22
First-principles (PBE) data for an optimized crystal structure of CuPt, as listed in Alexandria.

Values from the calculation:
Size of the total moment   0.00 μB per cell
Volume   14.05 A^3/atom
E   -20.82 eV/cell

Lattice parameters (Å, degrees): 5.1697 5.2078 5.2078 149.37 127.40 62.17
Fractional positions:
Cu  0.0015  0.9987  0.0028
Cu  0.0819  0.7513  0.3306
Pt  0.5063  0.5012  0.0051
Pt  0.5770  0.2488  0.3282